# Ac6HRu2Br2 (PBE-GGA, optimized geometry)
# V: 34.83 Å³ per atom
# electronic total energy: -113.96 eV/cell
# theoretical density: 7.476 g/cm³
# density of states at the Fermi level: 12.45 states/eV per cell
data_Ac6HRu2Br2
_chemical_formula_sum 'Ac12 H2 Ru4 Br4'
_symmetry_space_group_name_H-M 'C 1 2/m 1'
_symmetry_Int_Tables_number 12
_cell_length_a 7.442
_cell_length_b 12.684
_cell_length_c 8.510
_cell_angle_alpha 90.00
_cell_angle_beta 107.49
_cell_angle_gamma 90.00
loop_
_symmetry_equiv_pos_as_xyz
'x,y,z'
'-x,-y,-z'
'-x,y,-z'
'x,-y,z'
'x+1/2,y+1/2,z'
'-x+1/2,-y+1/2,-z'
'-x+1/2,y+1/2,-z'
'x+1/2,-y+1/2,z'
loop_
_atom_site_label
_atom_site_fract_x
_atom_site_fract_y
_atom_site_fract_z
_atom_site_occupancy
Ac1 0.221 0.000 0.200 1
Ac2 0.235 0.334 0.197 1
H1 0.000 0.500 0.000 1
Ru1 0.000 0.171 0.000 1
Br1 0.000 0.325 0.500 1

=====

# Ac8HRu3Br3 (PBE-GGA, optimized geometry)
# V: 34.72 Å³ per atom
# electronic total energy: -158.45 eV/cell
# theoretical density: 7.524 g/cm³
# density of states at the Fermi level: 15.01 states/eV per cell
data_Ac8HRu3Br3
_chemical_formula_sum 'Ac16 H2 Ru6 Br6'
_symmetry_space_group_name_H-M 'C 1 2/m 1'
_symmetry_Int_Tables_number 12
_cell_length_a 14.811
_cell_length_b 8.542
_cell_length_c 9.606
_cell_angle_alpha 90.00
_cell_angle_beta 120.99
_cell_angle_gamma 90.00
loop_
_symmetry_equiv_pos_as_xyz
'x,y,z'
'-x,-y,-z'
'-x,y,-z'
'x,-y,z'
'x+1/2,y+1/2,z'
'-x+1/2,-y+1/2,-z'
'-x+1/2,y+1/2,-z'
'x+1/2,-y+1/2,z'
loop_
_atom_site_label
_atom_site_fract_x
_atom_site_fract_y
_atom_site_fract_z
_atom_site_occupancy
Ac1 0.020 0.246 0.307 1
Ac2 0.233 0.000 0.700 1
Ac3 0.233 0.500 0.693 1
H1 0.000 0.500 0.500 1
Ru1 0.000 0.000 0.500 1
Ru2 0.250 0.250 0.500 1
Br1 0.000 0.500 0.000 1
Br2 0.250 0.250 0.000 1

=====

# Ac2H2SBr (PBE-GGA, optimized geometry)
# V: 22.08 Å³ per atom
# electronic total energy: -28.68 eV/cell
# theoretical density: 7.118 g/cm³
# density of states at the Fermi level: 2.57 states/eV per cell
data_Ac2H2SBr
_chemical_formula_sum 'Ac2 H2 S1 Br1'
_symmetry_space_group_name_H-M 'P -3 m 1'
_symmetry_Int_Tables_number 164
_symmetry_space_group_name_Hall '-P 3 2"'
_cell_length_a 4.2113
_cell_length_b 4.2113
_cell_length_c 8.6269
_cell_angle_alpha 90.00
_cell_angle_beta 90.00
_cell_angle_gamma 120.00
loop_
_atom_site_label
_atom_site_fract_x
_atom_site_fract_y
_atom_site_fract_z
_atom_site_occupancy
Ac1 0.3333 0.6667 0.2867 1
H1 0.3333 0.6667 0.7515 1
S1 0.0000 0.0000 0.5000 1
Br1 0.0000 0.0000 0.0000 1

=====

# Ac8Si3HBr4 (PBE-GGA, optimized geometry)
# V: 33.02 Å³ per atom
# electronic total energy: -221.99 eV/cell
# theoretical density: 6.980 g/cm³
# density of states at the Fermi level: 31.90 states/eV per cell
data_Ac8Si3HBr4
_chemical_formula_sum 'Ac24 Si9 H3 Br12'
_symmetry_space_group_name_H-M 'R -3 m'
_symmetry_Int_Tables_number 166
_symmetry_space_group_name_Hall '-R 3 2"'
_cell_length_a 8.9129
_cell_length_b 8.9129
_cell_length_c 23.0379
_cell_angle_alpha 90.00
_cell_angle_beta 90.00
_cell_angle_gamma 120.00
loop_
_atom_site_label
_atom_site_fract_x
_atom_site_fract_y
_atom_site_fract_z
_atom_site_occupancy
Ac1 0.0000 0.0000 0.2393 1
Ac2 0.0041 0.5020 0.2373 1
Si1 0.0000 0.5000 0.5000 1
H1 0.0000 0.0000 0.5000 1
Br1 0.0000 0.0000 0.0000 1
Br2 0.0000 0.5000 0.0000 1

=====

# Ac6Si2HBr3 (PBE-GGA, optimized geometry)
# V: 32.21 Å³ per atom
# electronic total energy: -109.09 eV/cell
# theoretical density: 7.127 g/cm³
# density of states at the Fermi level: 15.25 states/eV per cell
data_Ac6Si2HBr3
_chemical_formula_sum 'Ac12 Si4 H2 Br6'
_symmetry_space_group_name_H-M 'C 1 2/m 1'
_symmetry_Int_Tables_number 12
_cell_length_a 7.670
_cell_length_b 13.171
_cell_length_c 8.083
_cell_angle_alpha 90.00
_cell_angle_beta 108.81
_cell_angle_gamma 90.00
loop_
_symmetry_equiv_pos_as_xyz
'x,y,z'
'-x,-y,-z'
'-x,y,-z'
'x,-y,z'
'x+1/2,y+1/2,z'
'-x+1/2,-y+1/2,-z'
'-x+1/2,y+1/2,-z'
'x+1/2,-y+1/2,z'
loop_
_atom_site_label
_atom_site_fract_x
_atom_site_fract_y
_atom_site_fract_z
_atom_site_occupancy
Ac1 0.230 0.161 0.209 1
Ac2 0.244 0.500 0.228 1
Si1 0.000 0.336 0.000 1
H1 0.000 0.000 0.000 1
Br1 0.000 0.186 0.500 1
Br2 0.000 0.500 0.500 1

=====

# AcHfBr2 (PBE-GGA, optimized geometry)
# formation energy without anion corrections: -572 meV/atom
# V: 29.79 Å³ per atom
# electronic total energy: -59.09 eV/cell
# theoretical density: 7.877 g/cm³
# density of states at the Fermi level: 9.06 states/eV per cell
data_AcHfBr2
_chemical_formula_sum 'Ac3 Hf3 Br6'
_symmetry_space_group_name_H-M 'R -3 m'
_symmetry_Int_Tables_number 166
_symmetry_space_group_name_Hall '-R 3 2"'
_cell_length_a 3.6681
_cell_length_b 3.6681
_cell_length_c 30.6804
_cell_angle_alpha 90.00
_cell_angle_beta 90.00
_cell_angle_gamma 120.00
loop_
_atom_site_label
_atom_site_fract_x
_atom_site_fract_y
_atom_site_fract_z
_atom_site_occupancy
Ac1 0.0000 0.0000 0.0000 1
Hf1 0.0000 0.0000 0.5000 1
Br1 0.0000 0.0000 0.4122 1

=====

# AcHfBr (PBE-GGA, optimized geometry)
# formation energy without anion corrections: -418 meV/atom
# V: 30.34 Å³ per atom
# electronic total energy: -33.98 eV/cell
# theoretical density: 8.857 g/cm³
# density of states at the Fermi level: 4.31 states/eV per cell
data_AcHfBr
_chemical_formula_sum 'Ac2 Hf2 Br2'
_symmetry_space_group_name_H-M 'P -1'
_symmetry_Int_Tables_number 2
_cell_length_a 3.636
_cell_length_b 6.233
_cell_length_c 8.346
_cell_angle_alpha 80.57
_cell_angle_beta 77.42
_cell_angle_gamma 89.97
loop_
_symmetry_equiv_pos_as_xyz
'x,y,z'
'-x,-y,-z'
loop_
_atom_site_label
_atom_site_fract_x
_atom_site_fract_y
_atom_site_fract_z
_atom_site_occupancy
Ac1 0.105 0.185 0.289 1
Hf1 0.438 0.305 0.624 1
Br1 0.202 0.724 0.096 1

=====

# Ac4Hg2Br (PBE-GGA, optimized geometry)
# formation energy without anion corrections: -375 meV/atom
# V: 40.29 Å³ per atom
# electronic total energy: -42.67 eV/cell
# theoretical density: 8.180 g/cm³
# density of states at the Fermi level: 10.22 states/eV per cell
data_Ac4Hg2Br
_chemical_formula_sum 'Ac8 Hg4 Br2'
_symmetry_space_group_name_H-M 'I 4/m m m'
_symmetry_Int_Tables_number 139
_symmetry_space_group_name_Hall '-I 4 2'
_cell_length_a 5.940
_cell_length_b 5.940
_cell_length_c 15.986
_cell_angle_alpha 90.00
_cell_angle_beta 90.00
_cell_angle_gamma 90.00
loop_
_atom_site_label
_atom_site_fract_x
_atom_site_fract_y
_atom_site_fract_z
_atom_site_occupancy
Ac1 0.000 0.000 0.201 1
Ac2 0.000 0.500 0.000 1
Hg1 0.000 0.000 0.397 1
Br1 0.000 0.000 0.000 1